1.
{
  "formula": "LaTeMo2",
  "functional": "PBE",
  "state": "optimized geometry",
  "spacegroup": "P2/m",
  "n_ef_per_ev_cell": 3.715,
  "formation_energy_uncorrected_mev_per_atom": 288,
  "final_energy_ev_per_atom": -7.145,
  "volume_a3_per_atom": 24.860,
  "lattice_angstrom": [[4.958, 0.000, 0.000], [0.000, 3.919, 0.003], [0.000, 0.175, 5.117]],
  "species": ["La", "Mo", "Mo", "Te"],
  "frac_coords": [[0.500, 0.750, 0.750], [0.000, 0.183, 0.965], [0.000, 0.317, 0.535], [0.500, 0.250, 0.250]]
}

---

2.
{
  "formula": "YZrSc3",
  "functional": "PBE",
  "state": "optimized geometry",
  "spacegroup": "Cmce",
  "n_ef_per_ev_cell": 21.389,
  "de_polymorph_mev_per_atom": 0.0,
  "final_energy_ev_per_atom": -6.734,
  "delta_e_f_ev_per_atom": 0.0672,
  "volume_a3_per_atom": 25.607,
  "lattice_angstrom": [[7.016, -0.230, -0.172], [0.244, 8.437, -1.304], [0.244, 1.132, 8.462]],
  "species": ["Y", "Y", "Y", "Y", "Zr", "Zr", "Zr", "Zr", "Sc", "Sc", "Sc", "Sc", "Sc", "Sc", "Sc", "Sc", "Sc", "Sc", "Sc", "Sc"],
  "frac_coords": [[0.250, 0.767, 0.233], [0.750, 0.233, 0.767], [0.250, 0.267, 0.733], [0.750, 0.733, 0.267], [0.920, 0.602, 0.898], [0.580, 0.102, 0.398], [0.080, 0.398, 0.102], [0.420, 0.898, 0.602], [0.625, 0.876, 0.913], [0.875, 0.087, 0.124], [0.375, 0.124, 0.087], [0.125, 0.913, 0.876], [0.639, 0.405, 0.095], [0.861, 0.905, 0.595], [0.361, 0.595, 0.905], [0.139, 0.095, 0.405], [0.625, 0.587, 0.624], [0.875, 0.376, 0.413], [0.375, 0.413, 0.376], [0.125, 0.624, 0.587]]
}